{
  "formula": "BaLaCd4",
  "functional": "PBE",
  "state": "relaxed",
  "lattice_angstrom": [[0.0000, 4.4095, 4.4095], [4.4095, 0.0000, 4.4095], [4.4095, 4.4095, 0.0000]],
  "species": ["Ba", "La", "Cd", "Cd", "Cd", "Cd"],
  "fractional_positions": [[0.0000, 0.0000, 0.0000], [0.2500, 0.2500, 0.2500], [0.1275, 0.6242, 0.6242], [0.6242, 0.1275, 0.6242], [0.6242, 0.6242, 0.1275], [0.6242, 0.6242, 0.6242]],
  "formation_enthalpy_0k_ev_per_atom": -0.278,
  "space_group": "F-43m, No. 216",
  "e_above_lowest_polymorph_ev_per_atom": 0.045
}